(1)
Density functional theory data (PBEsol) for an optimized crystal structure of Sb2S4O15.

Lattice parameters (Å, degrees): 7.0549 9.2520 17.7945 100.46 90.00 90.00
With the nearest neighbours (Å) after each atom.
Positions (direct):
1 Sb 0.6757 0.1115 0.6416  4 O 2.08-2.31
2 Sb 0.8243 0.6115 0.1416  4 O 2.08-2.31
3 Sb 0.3243 0.8885 0.3584  4 O 2.08-2.31
4 Sb 0.1757 0.3885 0.8584  4 O 2.08-2.31
5 Sb 0.1569 0.3987 0.3561  4 O 2.08-2.30
6 Sb 0.3431 0.8987 0.8561  4 O 2.08-2.30
7 Sb 0.8431 0.6013 0.6439  4 O 2.08-2.30
8 Sb 0.6569 0.1013 0.1439  4 O 2.08-2.30
9 S 0.4471 0.2234 0.4903  3 O 1.44-1.47
10 S 0.0529 0.7234 0.9903  3 O 1.44-1.47
11 S 0.5529 0.7766 0.5097  3 O 1.44-1.47
12 S 0.9471 0.2766 0.0097  3 O 1.44-1.47
13 S 0.7490 0.4117 0.7773  4 O 1.43-1.54
14 S 0.7510 0.9117 0.2773  4 O 1.43-1.54
15 S 0.2510 0.5883 0.2227  4 O 1.43-1.54
16 S 0.2490 0.0883 0.7227  4 O 1.43-1.54
17 S 0.0456 0.2598 0.5173  3 O 1.44-1.48
18 S 0.4544 0.7598 0.0173  3 O 1.44-1.48
19 S 0.9544 0.7402 0.4827  3 O 1.44-1.48
20 S 0.5456 0.2402 0.9827  3 O 1.44-1.48
21 S 0.7348 0.4095 0.2715  4 O 1.43-1.53
22 S 0.7652 0.9095 0.7715  4 O 1.43-1.53
23 S 0.2652 0.5905 0.7285  4 O 1.43-1.53
24 S 0.2348 0.0905 0.2285  4 O 1.43-1.53
25 O 0.8150 0.5591 0.7668  1 S 1.48
26 O 0.6850 0.0591 0.2668  1 S 1.48
27 O 0.1850 0.4409 0.2332  1 S 1.48
28 O 0.3150 0.9409 0.7332  1 S 1.48
29 O 0.8978 0.3417 0.8199  1 S 1.51
30 O 0.6022 0.8417 0.3199  1 S 1.51
31 O 0.1022 0.6583 0.1801  1 S 1.51
32 O 0.3978 0.1583 0.6801  1 S 1.51
33 O 0.5509 0.2607 0.5630  1 S 1.47
34 O 0.9491 0.7607 0.0630  1 S 1.47
35 O 0.4491 0.7393 0.4370  1 S 1.47
36 O 0.0509 0.2393 0.9370  1 S 1.47
37 O 0.7461 0.3231 0.6954  1 S 1.54
38 O 0.7539 0.8231 0.1954  1 S 1.54
39 O 0.2539 0.6769 0.3046  1 S 1.54
40 O 0.2461 0.1769 0.8046  1 S 1.54
41 O 0.5207 0.0945 0.4401  1 S 1.45
42 O 0.9793 0.5945 0.9401  1 S 1.45
43 O 0.4793 0.9055 0.5599  1 S 1.45
44 O 0.0207 0.4055 0.0599  1 S 1.45
45 O 0.4091 0.3510 0.4565  1 S 1.44
46 O 0.0909 0.8510 0.9565  1 S 1.44
47 O 0.5909 0.6490 0.5435  1 S 1.44
48 O 0.9091 0.1490 0.0435  1 S 1.44
49 O 0.5697 0.4093 0.8147  1 S 1.43
50 O 0.9303 0.9093 0.3147  1 S 1.43
51 O 0.4303 0.5907 0.1853  1 S 1.43
52 O 0.0697 0.0907 0.6853  1 S 1.43
53 O 0.2406 0.1642 0.5162  2 S 1.63-1.65
54 O 0.2594 0.6642 0.0162  2 S 1.63-1.65
55 O 0.7594 0.8358 0.4838  2 S 1.63-1.65
56 O 0.7406 0.3358 0.9838  2 S 1.63-1.65
57 O 0.9110 0.1590 0.5397  1 S 1.44
58 O 0.5890 0.6590 0.0397  1 S 1.44
59 O 0.0890 0.8410 0.4603  1 S 1.44
60 O 0.4110 0.3410 0.9603  1 S 1.44
61 O 0.0732 0.3989 0.5683  1 S 1.45
62 O 0.4268 0.8989 0.0683  1 S 1.45
63 O 0.9268 0.6011 0.4317  1 S 1.45
64 O 0.5732 0.1011 0.9317  1 S 1.45
65 O 0.0167 0.2752 0.4366  1 S 1.48
66 O 0.4833 0.7752 0.9366  1 S 1.48
67 O 0.9833 0.7248 0.5634  1 S 1.48
68 O 0.5167 0.2248 0.0634  1 S 1.48
69 O 0.8857 0.3423 0.3140  1 S 1.50
70 O 0.6143 0.8423 0.8140  1 S 1.50
71 O 0.1143 0.6577 0.6860  1 S 1.50
72 O 0.3857 0.1577 0.1860  1 S 1.50
73 O 0.8021 0.5562 0.2591  1 S 1.49
74 O 0.6979 0.0562 0.7591  1 S 1.49
75 O 0.1979 0.4438 0.7409  1 S 1.49
76 O 0.3021 0.9438 0.2409  1 S 1.49
77 O 0.7293 0.3171 0.1906  1 S 1.53
78 O 0.7707 0.8171 0.6906  1 S 1.53
79 O 0.2707 0.6829 0.8094  1 S 1.53
80 O 0.2293 0.1829 0.3094  1 S 1.53
81 O 0.5567 0.4114 0.3098  1 S 1.43
82 O 0.9433 0.9114 0.8098  1 S 1.43
83 O 0.4433 0.5886 0.6902  1 S 1.43
84 O 0.0567 0.0886 0.1902  1 S 1.43

- Symmetry: P2_1/c, No. 14
- Total magnetic moment: 0.00 μB/f.u.
- Final energy: -0.4648 Ry per atom

(2)
Density functional theory data (PBEsol) for an optimized crystal structure of TlTeI2O.

Lattice parameters (Å, degrees): 4.0800 6.1799 6.1799 90.00 90.00 90.00
With the nearest neighbours (Å) after each atom.
Positions (direct):
1 I 0.0000 0.0000 0.5000  2 Te 3.09
2 I 0.0000 0.5000 0.0000  2 Te 3.09
3 Tl 0.5000 0.5000 0.5000  8 I 3.70, 2 Tl 4.08
4 Te 0.0000 0.0000 0.0000  2 O 2.04
5 O 0.5000 0.0000 0.0000  2 Te 2.04

- Symmetry: P4/mmm, No. 123
- Total magnetic moment: 0.00 μB/f.u.
- Offset from the most stable computed form: 0 meV per atom

(3)
Density functional theory data (PBEsol) for an optimized crystal structure of ZrPtO2F.

Lattice parameters (Å, degrees): 4.0570 4.1088 4.1088 90.00 90.00 90.00
With the nearest neighbours (Å) after each atom.
Positions (direct):
1 O 0.0000 0.0000 0.5000  2 Zr 2.05
2 O 0.0000 0.5000 0.0000  2 Zr 2.05
3 Zr 0.0000 0.0000 0.0000  2 F 2.03, 4 O 2.05
4 Pt 0.5000 0.5000 0.5000  8 O 2.89, 4 F 2.91
5 F 0.5000 0.0000 0.0000  2 Zr 2.03

- Symmetry: P4/mmm, No. 123
- Total magnetic moment: 1.11 μB/f.u.
- Final energy: -0.5344 Ry per atom

(4)
Density functional theory data (PBEsol) for an optimized crystal structure of CsTmZnTe3.

Lattice parameters (Å, degrees): 4.3074 8.6620 11.3959 90.00 90.00 104.40
With the nearest neighbours (Å) after each atom.
Positions (direct):
1 Cs 0.7476 0.4952 0.2500  8 Te 3.80-4.08, 2 Zn 4.20
2 Cs 0.2524 0.5048 0.7500  8 Te 3.80-4.08, 2 Zn 4.20
3 Zn 0.4627 0.9254 0.2500  4 Te 2.63-2.71
4 Zn 0.5373 0.0746 0.7500  4 Te 2.63-2.71
5 Tm 0.0000 0.0000 0.0000  6 Te 3.02-3.03
6 Tm 0.0000 0.0000 0.5000  6 Te 3.02-3.03
7 Te 0.3791 0.7583 0.0551  1 Zn 2.63
8 Te 0.6209 0.2417 0.9449  1 Zn 2.63
9 Te 0.6209 0.2417 0.5551  1 Zn 2.63
10 Te 0.3791 0.7583 0.4449  1 Zn 2.63
11 Te 0.0609 0.1218 0.2500  2 Zn 2.71, 2 Tm 3.03
12 Te 0.9391 0.8782 0.7500  2 Zn 2.71, 2 Tm 3.03

- Symmetry: Cmcm, No. 63
- Total magnetic moment: 0.00 μB/f.u.
- Final energy: -0.2985 Ry per atom

(5)
Density functional theory data (PBEsol) for an optimized crystal structure of TcTe2OsO.

Lattice parameters (Å, degrees): 3.6110 5.2934 5.2934 90.00 90.00 90.00
With the nearest neighbours (Å) after each atom.
Positions (direct):
1 Te 0.0000 0.0000 0.5000  2 Os 2.65
2 Te 0.0000 0.5000 0.0000  2 Os 2.65
3 Os 0.0000 0.0000 0.0000  2 O 1.81
4 Tc 0.5000 0.5000 0.5000  8 Te 3.20
5 O 0.5000 0.0000 0.0000  2 Os 1.81

- Symmetry: P4/mmm, No. 123
- Total magnetic moment: 2.47 μB/f.u.
- Final energy: -0.4877 Ry per atom

(6)
Density functional theory data (PBEsol) for an optimized crystal structure of MnCr.

Lattice parameters (Å, degrees): 2.7821 4.5973 5.5747 107.66 90.00 107.61
With the nearest neighbours (Å) after each atom.
Positions (direct):
1 Cr 0.9742 0.9484 0.9462  4 Cr 2.37-2.40, 4 Mn 2.40-2.43
2 Cr 0.6339 0.2678 0.7773  6 Mn 2.37-2.41, 2 Cr 2.37
3 Cr 0.6416 0.2831 0.2770  6 Mn 2.39-2.40, 2 Cr 2.40
4 Mn 0.3007 0.6014 0.6132  6 Cr 2.39-2.43, 2 Mn 2.47
5 Mn 0.9776 0.9553 0.4468  4 Cr 2.37-2.40, 4 Mn 2.45-2.47
6 Mn 0.3053 0.6106 0.1062  6 Cr 2.40-2.41, 2 Mn 2.45

- Symmetry: Cm, No. 8
- Total magnetic moment: 0.00 μB/f.u.
- Energy relative to the elements: 0.076 eV per atom

Number 1: mass density 3.6 Mg/m³. Number 2: mass density 6.4 Mg/m³. Number 3: mass density 8.2 Mg/m³. Number 4: mass density 6.0 Mg/m³. Number 5: mass density 9.2 Mg/m³. Number 6: mass density 8.3 Mg/m³.